Material: PmYMg3
Method: DFT, GGA-PBE
State: relaxed

a = 5.240 Å, b = 11.439 Å, c = 11.439 Å
α = 55.50°, β = 76.73°, γ = 76.73°
Positions (direct):
Mg (0.058, 0.834, 0.547)
Pm (0.448, 0.926, 0.676)
Mg (0.653, 0.220, 0.974)
Y (0.750, 0.369, 0.631)
Mg (0.359, 0.278, 0.506)
Mg (0.641, 0.722, 0.494)
Mg (0.347, 0.780, 0.026)
Pm (0.552, 0.074, 0.324)
Pm (0.052, 0.324, 0.074)
Mg (0.558, 0.547, 0.834)
Y (0.750, 0.873, 0.127)
Mg (0.859, 0.506, 0.278)
Mg (0.942, 0.166, 0.453)
Mg (0.847, 0.026, 0.780)
Pm (0.948, 0.676, 0.926)
Y (0.250, 0.631, 0.369)
Y (0.250, 0.127, 0.873)
Mg (0.141, 0.494, 0.722)
Mg (0.442, 0.453, 0.166)
Mg (0.153, 0.974, 0.220)

Summary:
**DOS at the Fermi energy**: 21.28 states/eV per cell
**Uncorrected energy**: -3.25 eV/atom
**Energy relative to the elements**: -0.0545 eV per atom
**Energy above the lowest structure with this stoichiometry**: 0.000 eV/atom